# 1
LiMo2Au after structural relaxation. Source: the Alexandria database, functional PBE.

a = 4.682 Å, b = 2.654 Å, c = 5.235 Å
α = 73.38°, β = 90.00°, γ = 90.00°
Sites, in units of the cell vectors:
Li1 0.500 0.750 0.750
Mo1 0.000 0.504 0.515
Mo2 0.000 0.996 0.985
Au1 0.500 0.250 0.250

Values from the calculation:
magnetic moment	0.000	μB per atom
DOS at the Fermi energy	0.91	states/eV per atom
SG	P2/m, No. 10
formation energy	210.7	meV/atom
final energy	-0.478	Ry/atom

---

# 2
LiMoAu2 after structural relaxation. Source: the Alexandria database, functional PBE.

a = 5.018 Å, b = 5.018 Å, c = 5.007 Å
α = 84.76°, β = 84.76°, γ = 31.84°
Sites, in units of the cell vectors:
Au1 0.750 0.750 0.701
Au2 0.999 0.999 0.047
Mo1 0.257 0.257 0.206
Li1 0.494 0.494 0.545

Values from the calculation:
magnetic moment	0.125	μB per atom
DOS at the Fermi energy	0.75	states/eV per atom
SG	Cm, No. 8
formation energy	21.9	meV/atom
final energy	-0.353	Ry/atom

---

# 3
Li2MoAu after structural relaxation. Source: the Alexandria database, functional PBE.

a = 9.668 Å, b = 9.668 Å, c = 9.668 Å
α = 16.47°, β = 16.47°, γ = 16.47°
Sites, in units of the cell vectors:
Au1 0.750 0.750 0.750
Li1 0.498 0.498 0.498
Li2 0.002 0.002 0.002
Mo1 0.250 0.250 0.250

Values from the calculation:
magnetic moment	0.082	μB per atom
DOS at the Fermi energy	0.99	states/eV per atom
SG	R-3m, No. 166
formation energy	120.4	meV/atom
final energy	-0.321	Ry/atom

---

# 4
Li2MoAu after structural relaxation. Source: the Alexandria database, functional PBE.

a = 4.644 Å, b = 2.655 Å, c = 5.112 Å
α = 87.82°, β = 90.00°, γ = 90.00°
Sites, in units of the cell vectors:
Li1 0.000 0.898 0.006
Au1 0.500 0.750 0.750
Mo1 0.500 0.250 0.250
Li2 0.000 0.602 0.494

Values from the calculation:
magnetic moment	0.230	μB per atom
DOS at the Fermi energy	0.78	states/eV per atom
SG	P2/m, No. 10
formation energy	141.5	meV/atom
final energy	-0.319	Ry/atom

---

> What is the formation energy in the fourth record?

141.5 meV/atom

---

> Which formula does entry 3 have?

Li2MoAu

---

> Which of these has the lowest DOS at the Fermi energy?

LiMoAu2